Material: FeNi4Ir
Method: DFT, PBE-GGA
State: optimized geometry

Lattice parameters (Å, degrees): 5.6844 5.6844 3.6231 90.00 90.00 142.93
Last column: nearest neighbours and their distance in Å.
Fractional positions:
1 Fe 0.0000 0.0000 0.0000  4 Ir 2.56, 8 Ni 2.57
2 Ni 0.1692 0.8308 0.5000  8 Ni 2.51-2.56, 2 Ir 2.57, 2 Fe 2.57
3 Ni 0.3311 0.6689 0.0000  8 Ni 2.51-2.56, 2 Fe 2.57, 2 Ir 2.57
4 Ni 0.6689 0.3311 0.0000  8 Ni 2.51-2.56, 2 Fe 2.57, 2 Ir 2.57
5 Ni 0.8308 0.1692 0.5000  8 Ni 2.51-2.56, 2 Ir 2.57, 2 Fe 2.57
6 Ir 0.5000 0.5000 0.5000  4 Fe 2.56, 8 Ni 2.57

- symmetry = Cmmm (65)
- E_tot (eV/cell) = -40.7
- excess energy over the best structure of this formula in the dataset (meV/atom) = 0.0
- energy of formation (eV per formula unit) = -0.22